Computed, not measured: a relaxed structure of La2Tb4SmHo at the PBE level of DFT.

Summary:
Energy relative to the elements ... 29 meV per atom
DOS(E_F) ... 12.281 states/eV/cell
VASP energy ... -4.680 eV/atom

Structure (extended XYZ):
```
8
Lattice="-0.8197 -3.7163 3.4661 1.5820 -3.4993 -3.3777 11.1011 -2.4590 -0.0111" Properties=species:S:1:pos:R:3 pbc="T T T"
La 11.1011 -2.4590 -0.0111
La 5.1407 -3.0876 1.7275
Tb 9.4984 -4.4720 -2.5484
Tb 2.3650 -5.2026 2.6257
Tb 3.5600 -5.0967 -0.8003
Tb 8.3034 -4.5779 0.8776
Sm 0.3812 -3.6078 0.0442
Ho 6.3416 -2.9791 -1.6944
```